Here is a relaxed structure of KTc2Rh from Alexandria via LeMat-Bulk. Energies are from GGA-PBE.

Computed properties:
energy relative to the lowest polymorph listed for this composition = 669 meV per atom
Fermi-level density of states = 1.17 states/eV per atom
DFT formation energy = 1.23 eV/atom

Cell lengths 2.8328, 4.7317, 5.0592 Å; angles 90.00, 90.00, 90.00 degrees
Last column: magnetic moment on the atom in μB.
Element x y z (fractional)
K (0.5000, 0.0000, 0.5000)  0.02
Rh (0.0000, 0.5000, 0.5000)  0.03
Tc (0.0000, 0.0000, 0.0000)  0.46
Tc (0.5000, 0.5000, 0.0000)  -0.07